The following is a DFT calculation (PBEsol) of a geometry-optimized KBaAsSe2 structure.

Lattice parameters (Å, degrees): 6.0524 6.0524 6.0847 90.00 90.00 90.00
Last column: magnetic moment on the atom in μB.
Positions (direct):
K 0.5000 0.5000 0.5000  0.00
As 0.0000 0.0000 0.5000  0.72
Ba 0.0000 0.0000 0.0000  0.03
Se 0.0000 0.5000 0.0000  0.33
Se 0.5000 0.0000 0.0000  0.33

The uncorrected formation energy is -0.05 eV per atom. The density of states at the Fermi level comes out at 1.30 states/eV/atom. Its space-group type is P4/mmm (123). The value obtained for the theoretical density is 3.05 Mg/m³.

---

The following is a DFT calculation (PBEsol) of a geometry-optimized Na2MgBC structure.

Lattice parameters (Å, degrees): 2.8851 5.8119 5.8119 90.00 90.00 90.00
Positions (direct):
Na 0.0000 0.0000 0.5000
Na 0.0000 0.5000 0.0000
Mg 0.5000 0.5000 0.5000
B 0.0000 0.0000 0.0000
C 0.5000 0.0000 0.0000

The density of states at the Fermi level comes out at 0.30 states/eV/atom. Its space-group type is P4/mmm (123). The value obtained for the theoretical density is 1.59 Mg/m³. The formation energy from the elements comes out at 0.375 eV/atom.

---

The following is a DFT calculation (PBEsol) of a geometry-optimized CaZnAu2 structure.

Lattice parameters (Å, degrees): 4.4763 4.8029 4.8029 62.02 62.23 62.23
Positions (direct):
Zn 0.0000 0.5000 0.5000
Au 0.2768 0.7232 0.7232
Au 0.7232 0.2768 0.2768
Ca 0.5000 0.0000 0.0000

The density of states at the Fermi level comes out at 0.36 states/eV/atom. Its space-group type is Immm (71). The value obtained for the theoretical density is 10.84 Mg/m³. The formation energy from the elements comes out at -0.471 eV/atom.

---

The following is a DFT calculation (PBEsol) of a geometry-optimized RbRh2Se2 structure.

Lattice parameters (Å, degrees): 3.9528 3.9528 7.4489 105.39 105.39 90.00
Positions (direct):
Rh 0.2500 0.7500 0.5000
Rh 0.7500 0.2500 0.5000
Se 0.3566 0.3566 0.7132
Se 0.6434 0.6434 0.2868
Rb 0.0000 0.0000 0.0000

The uncorrected formation energy is -0.48 eV per atom. The density of states at the Fermi level comes out at 0.74 states/eV/atom. Its space-group type is I4/mmm (139). The value obtained for the theoretical density is 6.91 Mg/m³.

---

The following is a DFT calculation (PBEsol) of a geometry-optimized RuPt structure.

Lattice parameters (Å, degrees): 2.6971 2.6971 3.8732 90.00 90.00 90.00
Positions (direct):
Ru 0.0000 0.0000 0.0000
Pt 0.5000 0.5000 0.5000

The density of states at the Fermi level comes out at 1.32 states/eV/atom. Its space-group type is P4/mmm (123). The value obtained for the theoretical density is 17.45 Mg/m³. The formation energy from the elements comes out at 0.075 eV/atom.

---

The following is a DFT calculation (PBEsol) of a geometry-optimized YBe2Br structure.

Lattice parameters (Å, degrees): 3.6891 3.8069 6.3472 89.63 90.00 118.98
Positions (direct):
Y 0.7081 0.4162 0.1918
Be 0.0442 0.0884 0.9258
Be 0.3690 0.7380 0.8845
Br 0.3787 0.7574 0.4979

The uncorrected formation energy is -0.19 eV per atom. The density of states at the Fermi level comes out at 0.47 states/eV/atom. Its space-group type is Cm (8). The value obtained for the theoretical density is 3.98 Mg/m³. As for the energy above the lowest structure with this stoichiometry: 0.0 meV per atom.